Entry w
Compound: ZrRuNF2
Source: Alexandria
Functional: PBE-GGA
Structure: optimized geometry Values from VASP.

```
&SYSTEM
  ibrav = 0, nat = 5, ntyp = 4
/
ATOMIC_SPECIES
Zr 91.22 Zr.upf
Ru 101.07 Ru.upf
N 14.01 N.upf
F 19.00 F.upf
CELL_PARAMETERS angstrom
4.314 0.000 0.000
0.000 4.314 0.000
0.000 0.000 3.741
ATOMIC_POSITIONS crystal
Zr 0.000 0.000 0.000
Ru 0.500 0.500 0.500
N 0.500 0.500 0.000
F 0.000 0.500 0.500
F 0.500 0.000 0.500
```



Entry x
Compound: ZrRuNF2
Source: Alexandria
Functional: PBE-GGA
Structure: optimized geometry Values from VASP.

```
&SYSTEM
  ibrav = 0, nat = 5, ntyp = 4
/
ATOMIC_SPECIES
Zr 91.22 Zr.upf
Ru 101.07 Ru.upf
N 14.01 N.upf
F 19.00 F.upf
CELL_PARAMETERS angstrom
4.178 0.000 0.000
0.000 4.178 0.000
0.000 0.000 4.311
ATOMIC_POSITIONS crystal
Zr 0.000 0.000 0.000
Ru 0.500 0.500 0.500
N 0.000 0.000 0.500
F 0.000 0.500 0.000
F 0.500 0.000 0.000
```



Which of them is most stable, and which least? Most stable: entry x; least stable: entry w.



Entry w
Compound: SbS2NF
Source: Alexandria
Functional: PBE-GGA
Structure: optimized geometry Values from VASP.

```
&SYSTEM
  ibrav = 0, nat = 5, ntyp = 4
/
ATOMIC_SPECIES
Sb 121.76 Sb.upf
S 32.06 S.upf
N 14.01 N.upf
F 19.00 F.upf
CELL_PARAMETERS angstrom
5.101 0.000 0.000
0.000 5.101 0.000
0.000 0.000 3.987
ATOMIC_POSITIONS crystal
Sb 0.000 0.000 0.000
S 0.000 0.500 0.000
S 0.500 0.000 0.000
N 0.000 0.000 0.500
F 0.500 0.500 0.500
```



Entry x
Compound: SbS2NF
Source: Alexandria
Functional: PBE-GGA
Structure: optimized geometry Values from VASP.

```
&SYSTEM
  ibrav = 0, nat = 5, ntyp = 4
/
ATOMIC_SPECIES
Sb 121.76 Sb.upf
S 32.06 S.upf
N 14.01 N.upf
F 19.00 F.upf
CELL_PARAMETERS angstrom
4.492 0.000 0.000
0.000 4.492 0.000
0.000 0.000 4.059
ATOMIC_POSITIONS crystal
Sb 0.000 0.000 0.000
S 0.000 0.500 0.500
S 0.500 0.000 0.500
N 0.500 0.500 0.000
F 0.500 0.500 0.500
```



Which of them is most stable, and which least? Most stable: entry w; least stable: entry x.



Entry w
Compound: ScSN2F
Source: Alexandria
Functional: PBE-GGA
Structure: optimized geometry Values from VASP.

```
&SYSTEM
  ibrav = 0, nat = 5, ntyp = 4
/
ATOMIC_SPECIES
Sc 44.96 Sc.upf
S 32.06 S.upf
N 14.01 N.upf
F 19.00 F.upf
CELL_PARAMETERS angstrom
3.732 0.000 0.000
0.000 3.732 0.000
0.000 0.000 3.914
ATOMIC_POSITIONS crystal
Sc 0.000 0.000 0.000
S 0.500 0.500 0.500
N 0.000 0.500 0.500
N 0.500 0.000 0.500
F 0.500 0.500 0.000
```



Entry x
Compound: ScSN2F
Source: Alexandria
Functional: PBE-GGA
Structure: optimized geometry Values from VASP.

```
&SYSTEM
  ibrav = 0, nat = 5, ntyp = 4
/
ATOMIC_SPECIES
Sc 44.96 Sc.upf
S 32.06 S.upf
N 14.01 N.upf
F 19.00 F.upf
CELL_PARAMETERS angstrom
3.955 0.000 0.000
0.000 3.955 0.000
0.000 0.000 3.880
ATOMIC_POSITIONS crystal
Sc 0.000 0.000 0.000
S 0.500 0.500 0.000
N 0.000 0.500 0.500
N 0.500 0.000 0.500
F 0.500 0.500 0.500
```



Which of them is most stable, and which least? Most stable: entry w; least stable: entry x.



Entry w
Compound: SeSN2F
Source: Alexandria
Functional: PBE-GGA
Structure: optimized geometry Values from VASP.

```
&SYSTEM
  ibrav = 0, nat = 5, ntyp = 4
/
ATOMIC_SPECIES
Se 78.96 Se.upf
S 32.06 S.upf
N 14.01 N.upf
F 19.00 F.upf
CELL_PARAMETERS angstrom
3.802 0.000 0.000
0.000 3.802 0.000
0.000 0.000 3.914
ATOMIC_POSITIONS crystal
Se 0.000 0.000 0.000
S 0.500 0.500 0.500
N 0.000 0.500 0.500
N 0.500 0.000 0.500
F 0.500 0.500 0.000
```



Entry x
Compound: SeSN2F
Source: Alexandria
Functional: PBE-GGA
Structure: optimized geometry Values from VASP.

```
&SYSTEM
  ibrav = 0, nat = 5, ntyp = 4
/
ATOMIC_SPECIES
Se 78.96 Se.upf
S 32.06 S.upf
N 14.01 N.upf
F 19.00 F.upf
CELL_PARAMETERS angstrom
3.724 0.000 0.000
0.000 3.724 0.000
0.000 0.000 7.146
ATOMIC_POSITIONS crystal
Se 0.000 0.000 0.000
S 0.500 0.500 0.000
N 0.000 0.500 0.500
N 0.500 0.000 0.500
F 0.000 0.000 0.500
```



Entry y
Compound: SeSN2F
Source: Alexandria
Functional: PBE-GGA
Structure: optimized geometry Values from VASP.

```
&SYSTEM
  ibrav = 0, nat = 5, ntyp = 4
/
ATOMIC_SPECIES
Se 78.96 Se.upf
S 32.06 S.upf
N 14.01 N.upf
F 19.00 F.upf
CELL_PARAMETERS angstrom
3.606 0.000 0.000
0.000 3.606 0.000
0.000 0.000 5.600
ATOMIC_POSITIONS crystal
Se 0.000 0.000 0.000
S 0.000 0.000 0.500
N 0.000 0.500 0.000
N 0.500 0.000 0.000
F 0.500 0.500 0.500
```



Which of them is most stable, and which least? Most stable: entry w; least stable: entry x.



Entry w
Compound: SeSN2F
Source: Alexandria
Functional: PBE-GGA
Structure: optimized geometry Values from VASP.

```
&SYSTEM
  ibrav = 0, nat = 5, ntyp = 4
/
ATOMIC_SPECIES
Se 78.96 Se.upf
S 32.06 S.upf
N 14.01 N.upf
F 19.00 F.upf
CELL_PARAMETERS angstrom
3.345 0.000 0.000
0.000 3.345 0.000
0.000 0.000 6.471
ATOMIC_POSITIONS crystal
Se 0.000 0.000 0.000
S 0.000 0.000 0.500
N 0.000 0.500 0.500
N 0.500 0.000 0.500
F 0.500 0.500 0.000
```



Entry x
Compound: SeSN2F
Source: Alexandria
Functional: PBE-GGA
Structure: optimized geometry Values from VASP.

```
&SYSTEM
  ibrav = 0, nat = 5, ntyp = 4
/
ATOMIC_SPECIES
Se 78.96 Se.upf
S 32.06 S.upf
N 14.01 N.upf
F 19.00 F.upf
CELL_PARAMETERS angstrom
3.986 0.000 0.000
0.000 3.986 0.000
0.000 0.000 3.943
ATOMIC_POSITIONS crystal
Se 0.000 0.000 0.000
S 0.500 0.500 0.500
N 0.000 0.500 0.000
N 0.500 0.000 0.000
F 0.000 0.000 0.500
```



Which of them is most stable, and which least? Most stable: entry w; least stable: entry x.



Entry w
Compound: SeSNF2
Source: Alexandria
Functional: PBE-GGA
Structure: optimized geometry Values from VASP.

```
&SYSTEM
  ibrav = 0, nat = 5, ntyp = 4
/
ATOMIC_SPECIES
Se 78.96 Se.upf
S 32.06 S.upf
N 14.01 N.upf
F 19.00 F.upf
CELL_PARAMETERS angstrom
4.479 0.000 0.000
0.000 4.479 0.000
0.000 0.000 3.763
ATOMIC_POSITIONS crystal
Se 0.000 0.000 0.000
S 0.500 0.500 0.500
N 0.000 0.000 0.500
F 0.000 0.500 0.000
F 0.500 0.000 0.000
```



Entry x
Compound: SeSNF2
Source: Alexandria
Functional: PBE-GGA
Structure: optimized geometry Values from VASP.

```
&SYSTEM
  ibrav = 0, nat = 5, ntyp = 4
/
ATOMIC_SPECIES
Se 78.96 Se.upf
S 32.06 S.upf
N 14.01 N.upf
F 19.00 F.upf
CELL_PARAMETERS angstrom
4.762 0.000 0.000
0.000 4.762 0.000
0.000 0.000 3.261
ATOMIC_POSITIONS crystal
Se 0.000 0.000 0.000
S 0.500 0.500 0.500
N 0.500 0.500 0.000
F 0.000 0.500 0.500
F 0.500 0.000 0.500
```



Which of them is most stable, and which least? Most stable: entry x; least stable: entry w.